A geometry-optimized ReTcBi2 structure, computed with PBE.

a = 4.7918 Å, b = 4.7918 Å, c = 4.7918 Å
α = 60.00°, β = 60.00°, γ = 60.00°
Last column: nearest neighbours and their distance in Å.
Element x y z (fractional)
Tc: 0.0000 0.0000 0.0000  8 Bi 2.93
Re: 0.5000 0.5000 0.5000  8 Bi 2.93
Bi: 0.2500 0.2500 0.2500  4 Re 2.93, 4 Tc 2.93
Bi: 0.7500 0.7500 0.7500  4 Re 2.93, 4 Tc 2.93

Its total moment is 0.000 μB/cell. Its crystal system is cubic. Its space group is Fm-3m (225). The formation energy is 0.884 eV per atom. The value obtained for the total energy is -0.4969 Ry per atom.